10
Lattice="-4.684 3.067 7.389 -0.034 -3.008 1.227 6.698 0.413 1.197" Properties=species:S:1:pos:R:3 comment="BPRhCl2, optimized geometry, DFT GGA-PBE" final_energy_ev_per_atom=-5.0235 e_form_raw_mev_per_atom=-397 magnetic_moment_mub_per_atom=0.000 pbc="T T T"
P 0.658 2.733 6.718
P -2.708 1.023 6.733
B -3.099 2.179 5.255
B 0.234 0.881 6.467
Rh -4.385 2.893 6.972
Rh -1.053 1.596 8.184
Cl 2.044 0.516 1.320
Cl 5.376 -0.781 2.532
Cl 3.204 1.948 4.862
Cl -0.162 0.237 4.878

=====

5
Lattice="-1.828 1.843 1.956 -0.801 -1.505 3.368 7.267 2.896 4.196" Properties=species:S:1:pos:R:3 comment="BPRhCl2, optimized geometry, DFT GGA-PBE" final_energy_ev_per_atom=-5.0238 e_form_raw_mev_per_atom=-397 magnetic_moment_mub_per_atom=0.000 pbc="T T T"
P 3.494 2.403 8.342
B 4.535 2.231 4.078
Rh 6.272 2.433 5.510
Cl -0.616 0.124 3.814
Cl 3.226 1.060 3.959

=====

5
Lattice="-0.624 -1.654 -4.129 3.930 -2.158 0.270 -2.447 -4.199 2.052" Properties=species:S:1:pos:R:3 comment="BP2RhCl, optimized geometry, DFT GGA-PBE" final_energy_ev_per_atom=-4.1077 e_form_raw_mev_per_atom=1231 magnetic_moment_mub_per_atom=0.000 pbc="T T T"
P 1.965 -1.079 0.135
P -0.312 -0.827 -2.064
B 0.429 -4.005 -0.903
Rh 0.000 0.000 0.000
Cl -1.223 -2.100 1.026

=====

5
Lattice="-2.291 -2.354 -2.383 2.539 -3.103 0.625 -2.310 -1.203 3.409" Properties=species:S:1:pos:R:3 comment="BP2RhCl, optimized geometry, DFT GGA-PBE" final_energy_ev_per_atom=-4.4741 e_form_raw_mev_per_atom=865 magnetic_moment_mub_per_atom=0.000 pbc="T T T"
P 1.269 -1.552 0.312
P -1.145 -1.177 -1.191
B 0.000 0.000 0.000
Rh -1.031 -3.330 0.826
Cl -1.155 -0.602 1.705

=====

5
Lattice="3.307 -0.001 0.000 -1.645 6.196 0.043 -0.075 -3.082 6.177" Properties=species:S:1:pos:R:3 comment="BPRhCl2, optimized geometry, DFT GGA-PBE" final_energy_ev_per_atom=-4.7962 e_form_raw_mev_per_atom=-170 magnetic_moment_mub_per_atom=0.001 pbc="T T T"
P 0.973 5.621 0.191
B 0.899 3.394 4.430
Rh 0.891 -2.216 5.717
Cl 2.545 -0.926 4.142
Cl 0.898 2.364 3.011

=====

5
Lattice="4.198 0.000 0.000 0.000 4.198 0.000 0.000 0.000 4.314" Properties=species:S:1:pos:R:3 comment="BPRuCl2, optimized geometry, DFT GGA-PBE" final_energy_ev_per_atom=-3.8968 e_form_raw_mev_per_atom=1115 magnetic_moment_mub_per_atom=0.344 pbc="T T T"
Ru 2.099 2.099 2.157
B 0.000 0.000 0.000
P 0.000 0.000 2.157
Cl 0.000 2.099 0.000
Cl 2.099 0.000 0.000